The following is a PBE calculation of crystalline Ca7Mg at its relaxed geometry, from Alexandria.

Cell: 5.395 5.395 11.393 Å, 103.70 103.70 90.00°
Element x y z (fractional)
Ca 0.500 0.500 0.000
Ca 0.748 0.748 0.496
Ca 0.618 0.118 0.236
Mg 0.000 0.000 0.000
Ca 0.382 0.882 0.764
Ca 0.118 0.618 0.236
Ca 0.882 0.382 0.764
Ca 0.252 0.252 0.504

The formation energy is 0.000 eV/atom. Its space group is I4/mmm (139).



The following is a PBE calculation of crystalline Pm3Tm8Sc3 at its relaxed geometry, from Alexandria.

Cell: 5.377 10.152 10.152 Å, 55.94 74.64 74.64°
Element x y z (fractional)
Pm 0.000 0.740 0.260
Sc 0.171 0.829 0.829
Pm 0.500 0.000 0.000
Tm 0.624 0.120 0.631
Pm 0.000 0.260 0.740
Tm 0.376 0.369 0.880
Tm 0.798 0.860 0.543
Tm 0.624 0.631 0.120
Sc 0.500 0.500 0.500
Sc 0.829 0.171 0.171
Tm 0.376 0.880 0.369
Tm 0.202 0.457 0.140
Tm 0.202 0.140 0.457
Tm 0.798 0.543 0.860

The formation energy is 0.389 eV/atom. Its space group is Immm (71).



The following is a PBE calculation of crystalline Sr2YMg12Cd3 at its relaxed geometry, from Alexandria.

Cell: 9.756 9.756 9.756 Å, 53.78 53.78 53.78°
Element x y z (fractional)
Sr 0.581 0.581 0.581
Mg 0.781 0.137 0.781
Mg 0.219 0.219 0.863
Mg 0.863 0.219 0.219
Y 0.000 0.000 0.000
Cd 0.000 0.000 0.500
Mg 0.825 0.825 0.451
Mg 0.451 0.825 0.825
Mg 0.825 0.451 0.825
Mg 0.175 0.549 0.175
Cd 0.500 0.000 0.000
Sr 0.419 0.419 0.419
Mg 0.137 0.781 0.781
Cd 0.000 0.500 0.000
Mg 0.781 0.781 0.137
Mg 0.549 0.175 0.175
Mg 0.219 0.863 0.219
Mg 0.175 0.175 0.549

The formation energy is 0.192 eV/atom. Its space group is R-3m (166).



The following is a PBE calculation of crystalline ZrTcSb2 at its relaxed geometry, from Alexandria.

Cell: 5.012 3.276 5.425 Å, 72.15 90.00 90.00°
Element x y z (fractional)
Sb 0.500 0.419 0.291
Tc 0.000 0.330 0.465
Zr 0.500 0.687 0.746
Sb 0.000 0.064 0.999

Its space group is Pm (6). Its uncorrected formation energy is -0.037 eV/atom.



The following is a PBE calculation of crystalline YRuN at its relaxed geometry, from Alexandria.

Cell: 4.874 4.190 6.427 Å, 109.03 112.28 90.00°
Element x y z (fractional)
Ru 0.748 0.500 0.000
Y 0.656 0.156 0.313
Y 0.344 0.844 0.687
N 0.857 0.357 0.714
N 0.143 0.643 0.286
Ru 0.252 0.500 0.000

Its space group is Immm (71). Its uncorrected formation energy is -0.206 eV/atom.



The following is a PBE calculation of crystalline EuLu2Hg at its relaxed geometry, from Alexandria.

Cell: 4.764 4.834 4.834 Å, 90.00 90.00 90.00°
Last column: magnetic moment on the atom in μB.
Element x y z (fractional)
Lu 0.000 0.000 0.500  0.07
Eu 0.500 0.500 0.500  6.83
Lu 0.000 0.500 0.000  0.07
Hg 0.500 0.000 0.000  0.00

The formation energy is -0.094 eV/atom. Its space group is P4/mmm (123).



The following is a PBE calculation of crystalline Tl2HgGe3Au12 at its relaxed geometry, from Alexandria.

Cell: 7.244 7.244 7.244 Å, 84.40 84.40 84.40°
Element x y z (fractional)
Au 0.375 0.375 0.945
Hg 0.000 0.000 0.000
Au 0.945 0.375 0.375
Ge 0.500 0.000 0.000
Au 0.196 0.196 0.698
Tl 0.615 0.615 0.615
Au 0.804 0.804 0.302
Au 0.375 0.945 0.375
Ge 0.000 0.500 0.000
Au 0.055 0.625 0.625
Au 0.804 0.302 0.804
Tl 0.385 0.385 0.385
Ge 0.000 0.000 0.500
Au 0.625 0.055 0.625
Au 0.625 0.625 0.055
Au 0.302 0.804 0.804
Au 0.698 0.196 0.196
Au 0.196 0.698 0.196

The formation energy is 0.100 eV/atom. Its space group is R-3m (166).



The following is a PBE calculation of crystalline ErTiCoCu at its relaxed geometry, from Alexandria.

Cell: 4.528 4.528 4.528 Å, 60.00 60.00 60.00°
Last column: magnetic moment on the atom in μB.
Element x y z (fractional)
Co 0.750 0.750 0.750  0.33
Er 0.500 0.500 0.500  -0.07
Ti 0.000 0.000 0.000  -0.25
Cu 0.250 0.250 0.250  -0.01

The formation energy is -0.108 eV/atom. Its space group is F-43m (216).



The following is a PBE calculation of crystalline MnSb2As at its relaxed geometry, from Alexandria.

Cell: 5.017 5.017 3.488 Å, 90.00 90.00 89.75°
Last column: magnetic moment on the atom in μB.
Element x y z (fractional)
Sb 0.500 0.500 0.000  -0.02
Sb 0.000 0.000 0.000  -0.02
Mn 0.000 0.500 0.500  3.87
As 0.500 0.000 0.500  0.01

Its space group is Cmmm (65). Its uncorrected formation energy is 0.348 eV/atom.



The following is a PBE calculation of crystalline NaCaLa at its relaxed geometry, from Alexandria.

Cell: 3.799 3.797 18.746 Å, 89.97 90.00 120.01°
Element x y z (fractional)
La 0.907 0.814 0.153
Na 0.574 0.149 0.492
Ca 0.575 0.150 0.826
La 0.241 0.482 0.996
Na 0.910 0.819 0.657
Ca 0.240 0.480 0.324

The formation energy is 0.041 eV/atom. Its space group is Cm (8).



The following is a PBE calculation of crystalline Sb2Mo at its relaxed geometry, from Alexandria.

Cell: 7.465 7.465 5.335 Å, 90.00 90.00 153.30°
Element x y z (fractional)
Sb 0.849 0.151 0.250
Mo 0.798 0.202 0.750
Sb 0.151 0.849 0.750
Sb 0.450 0.550 0.750
Sb 0.550 0.450 0.250
Mo 0.202 0.798 0.250

Its space group is Cmcm (63). Its uncorrected formation energy is 0.166 eV/atom.



The following is a PBE calculation of crystalline Er8Tm3Th2 at its relaxed geometry, from Alexandria.

Cell: 5.585 7.280 10.966 Å, 109.38 90.01 90.00°
Element x y z (fractional)
Tm 0.000 0.729 0.000
Tm 0.000 0.271 0.000
Er 0.000 0.336 0.672
Er 0.000 0.139 0.279
Er 0.500 0.389 0.218
Er 0.500 0.611 0.782
Er 0.000 0.664 0.328
Er 0.000 0.861 0.721
Er 0.500 0.829 0.218
Er 0.500 0.171 0.782
Th 0.500 0.754 0.509
Th 0.500 0.246 0.491
Tm 0.500 0.000 0.000

The formation energy is 0.277 eV/atom. Its space group is Cmmm (65).



Repeat the seventh record exactly.
The following is a PBE calculation of crystalline Tl2HgGe3Au12 at its relaxed geometry, from Alexandria.

Cell: 7.244 7.244 7.244 Å, 84.40 84.40 84.40°
Element x y z (fractional)
Au 0.375 0.375 0.945
Hg 0.000 0.000 0.000
Au 0.945 0.375 0.375
Ge 0.500 0.000 0.000
Au 0.196 0.196 0.698
Tl 0.615 0.615 0.615
Au 0.804 0.804 0.302
Au 0.375 0.945 0.375
Ge 0.000 0.500 0.000
Au 0.055 0.625 0.625
Au 0.804 0.302 0.804
Tl 0.385 0.385 0.385
Ge 0.000 0.000 0.500
Au 0.625 0.055 0.625
Au 0.625 0.625 0.055
Au 0.302 0.804 0.804
Au 0.698 0.196 0.196
Au 0.196 0.698 0.196

The formation energy is 0.100 eV/atom. Its space group is R-3m (166).